Record 1
{
  "formula": "La2HoGa4Pd3",
  "functional": "PBE-GGA",
  "state": "optimized geometry",
  "lattice": [[-1.1384, 4.1328, 0.0086], [-3.1141, -0.8637, 2.8164], [7.4735, 2.0400, 8.8891]],
  "species": ["La", "La", "Ga", "Ga", "Ga", "Ga", "Pd", "Pd", "Pd", "Ho"],
  "fractional_positions": [[0.5000, 0.0000, 0.2258], [0.0000, 0.5000, 0.7742], [0.5000, 0.5000, 0.0000], [0.0000, 0.0000, 0.0000], [0.0000, 0.5000, 0.3346], [0.5000, 0.0000, 0.6654], [0.0000, 0.5000, 0.1219], [0.5000, 0.0000, 0.8781], [0.0000, 0.0000, 0.5000], [0.5000, 0.5000, 0.5000]],
  "dft_energy_ev_per_cell": -49.6,
  "dos_ef_per_ev_cell": 8.4,
  "total_magnetization_mub_per_cell": 0.00
}

Record 2
{
  "formula": "ZrTaGe2",
  "functional": "PBE-GGA",
  "state": "optimized geometry",
  "lattice": [[-2.4117, 1.7332, -2.3476], [-3.2937, 1.3278, 1.3116], [0.8008, 6.4829, 0.9113]],
  "species": ["Ge", "Ge", "Ta", "Zr"],
  "fractional_positions": [[0.7460, 0.7460, 0.7619], [0.2540, 0.2540, 0.2381], [0.0000, 0.0000, 0.0000], [0.5000, 0.5000, 0.5000]],
  "dft_energy_ev_per_cell": -31.0,
  "dos_ef_per_ev_cell": 2.0,
  "total_magnetization_mub_per_cell": 0.00
}

Record 3
{
  "formula": "CaRe2Pb",
  "functional": "PBE-GGA",
  "state": "optimized geometry",
  "lattice": [[-0.9189, -1.9325, -1.8872], [0.1642, -1.3591, 2.5032], [-9.6838, 2.6040, 2.0489]],
  "species": ["Re", "Re", "Pb", "Ca"],
  "fractional_positions": [[0.0000, 0.0000, 0.0053], [0.0000, 0.0000, 0.4947], [0.5000, 0.5000, 0.7500], [0.5000, 0.5000, 0.2500]],
  "dft_energy_ev_per_cell": -26.2,
  "dos_ef_per_ev_cell": 2.0,
  "total_magnetization_mub_per_cell": 0.00
}

Record 4
{
  "formula": "PrGd3Mn",
  "functional": "PBE-GGA",
  "state": "optimized geometry",
  "lattice": [[5.3640, 0.0000, 0.0000], [0.0000, 5.3640, 0.0000], [0.0000, 0.0000, 5.3640]],
  "species": ["Pr", "Mn", "Gd", "Gd", "Gd"],
  "fractional_positions": [[0.5000, 0.5000, 0.5000], [0.0000, 0.0000, 0.0000], [0.5000, 0.0000, 0.0000], [0.0000, 0.5000, 0.0000], [0.0000, 0.0000, 0.5000]],
  "dft_energy_ev_per_cell": -55.3,
  "dos_ef_per_ev_cell": 8.0,
  "total_magnetization_mub_per_cell": 21.56
}

Record 5
{
  "formula": "GdTmAu2",
  "functional": "PBE-GGA",
  "state": "optimized geometry",
  "lattice": [[-4.0470, 0.8320, -0.9169], [-3.0274, -0.8353, 2.8370], [-1.6647, 6.1988, 3.2054]],
  "species": ["Gd", "Tm", "Au", "Au"],
  "fractional_positions": [[0.5000, 0.5000, 0.5000], [0.0000, 0.0000, 0.0000], [0.2544, 0.2544, 0.2369], [0.7456, 0.7456, 0.7631]],
  "dft_energy_ev_per_cell": -28.1,
  "dos_ef_per_ev_cell": 4.6,
  "total_magnetization_mub_per_cell": 7.20
}

Record 6
{
  "formula": "LaTcAgH6",
  "functional": "PBE-GGA",
  "state": "optimized geometry",
  "lattice": [[4.8425, 0.0001, -0.0002], [2.4214, 4.1937, 0.0002], [0.0001, -0.0002, 4.5509]],
  "species": ["H", "H", "H", "H", "H", "H", "La", "Ag", "Tc"],
  "fractional_positions": [[0.4782, 0.4790, 0.2226], [0.4789, 0.0429, 0.2226], [0.4781, 0.0429, 0.7773], [0.4790, 0.4782, 0.7774], [0.0429, 0.4789, 0.7774], [0.0429, 0.4781, 0.2226], [0.0000, 0.0000, 0.0000], [0.6666, 0.6667, 0.5000], [0.3333, 0.3334, 0.5000]],
  "dft_energy_ev_per_cell": -39.5,
  "dos_ef_per_ev_cell": 4.5,
  "total_magnetization_mub_per_cell": 1.18
}